The following is a GGA+U calculation of a geometry-optimized WSe2F structure, from Alexandria.

a = 6.285 Å, b = 6.285 Å, c = 6.728 Å
α = 62.15°, β = 62.15°, γ = 90.00°
Site moments in Bohr magnetons follow the coordinates.
Positions (direct):
Se 0.647 0.125 0.250  -0.32
Se 0.103 0.625 0.250  -0.31
Se 0.375 0.353 0.750  -0.34
Se 0.875 0.897 0.750  -0.33
W 0.000 0.000 0.000  1.99
W 0.750 0.250 0.500  1.98
F 0.500 0.500 0.000  -0.25
F 0.250 0.750 0.500  -0.25

Output
Relative energy among the computed polymorphs   330 meV per atom
Electronic total energy   -4.11 eV/atom